Entry 1:
Os2PtCl PBE-GGA relaxed; space-group type = Cm; VASP energy = -6.96 eV per atom; E_form (uncorrected) = 0.627 eV per atom; crystal system = monoclinic
1.0
4.4667 -0.0228 -0.2315
3.6233 2.6122 -0.2315
0.7515 0.2405 6.8159
Cl Os Pt
1 2 1
direct
0.4303 0.4303 0.2177
0.9523 0.9523 0.9209
0.6923 0.6923 0.7799
0.4251 0.4251 0.5815

Entry 2:
Os2PtCl PBE-GGA relaxed; space-group type = Fm-3m; VASP energy = -6.38 eV per atom; E_form (uncorrected) = 1.204 eV per atom; crystal system = cubic
1.0
-3.8606 -1.5479 1.4619
-1.1659 0.6040 4.2087
-3.2574 2.7956 1.0057
Os Pt Cl
2 1 1
direct
0.2500 0.2500 0.2500
0.7500 0.7500 0.7500
0.5000 0.5000 0.5000
0.0000 0.0000 0.0000

Entry 3:
Os2PtCl PBE-GGA relaxed; space-group type = Cmm2; VASP energy = -6.91 eV per atom; E_form (uncorrected) = 0.676 eV per atom; crystal system = orthorhombic
1.0
-2.1363 0.2939 -1.7982
1.3766 -2.4339 0.2536
-6.1430 -2.7609 6.8467
Cl Os Pt
1 2 1
direct
0.5000 0.5000 0.7811
0.0000 0.0000 0.0039
0.5000 0.5000 0.2330
0.0000 0.0000 0.4820

Entry 4:
OsPtCl2 PBE-GGA relaxed; space-group type = C2/m; VASP energy = -4.31 eV per atom; E_form (uncorrected) = 0.926 eV per atom; crystal system = monoclinic
1.0
5.1116 -0.0011 -0.0032
-2.6702 4.5229 -0.0088
-0.2288 0.9896 2.8130
Os Pt Cl
1 1 2
direct
0.0000 0.5000 0.5000
0.5000 0.5000 0.0000
0.0000 0.0000 0.0000
0.5000 0.0000 0.5000

Entry 5:
OsPt3Cl PBE-GGA relaxed; space-group type = Pm-3m; VASP energy = -4.86 eV per atom; E_form (uncorrected) = 1.380 eV per atom; crystal system = cubic
1.0
-0.0411 0.5645 -4.8202
-1.4874 -4.5899 -0.5248
-4.6196 1.4728 0.2118
Os Pt Cl
1 3 1
direct
0.0000 0.0000 0.0000
0.0000 0.5000 0.0000
0.0000 0.0000 0.5000
0.5000 0.0000 0.0000
0.5000 0.5000 0.5000

Entry 6:
OsPtCl4 PBE-GGA relaxed; space-group type = F-43m; VASP energy = -2.32 eV per atom; E_form (uncorrected) = 1.787 eV per atom; crystal system = cubic
1.0
2.6627 -1.7018 4.5448
3.7373 3.2930 2.4145
-1.1156 2.3283 4.8965
Os Pt Cl
1 1 4
direct
0.7500 0.7500 0.7500
0.0000 0.0000 0.0000
0.8746 0.3751 0.3751
0.3751 0.3751 0.8746
0.3751 0.8746 0.3751
0.3751 0.3751 0.3751

Entry 7:
OsPtCl2 PBE-GGA relaxed; space-group type = Pmmm; VASP energy = -4.33 eV per atom; E_form (uncorrected) = 0.910 eV per atom; crystal system = orthorhombic
1.0
-0.2482 0.1531 2.8308
3.8438 -3.7853 0.5418
2.9573 3.0167 0.0961
Os Pt Cl
1 1 2
direct
0.5000 0.0000 0.5000
0.0000 0.5000 0.5000
0.0000 0.0000 0.0000
0.5000 0.5000 0.0000

Entry 8:
OsPtCl2 PBE-GGA relaxed; space-group type = Immm; VASP energy = -4.85 eV per atom; E_form (uncorrected) = 0.391 eV per atom; crystal system = orthorhombic
1.0
7.1577 0.0013 0.0084
6.5897 2.7944 0.0084
1.5490 0.3150 4.4384
Os Pt Cl
1 1 2
direct
0.7500 0.7500 0.7500
0.2500 0.2500 0.2500
0.1038 0.1038 0.8966
0.3962 0.3962 0.6034

Entry 9:
OsPt3Cl PBE-GGA relaxed; space-group type = Pm-3m; VASP energy = -4.62 eV per atom; E_form (uncorrected) = 1.618 eV per atom; crystal system = cubic
1.0
-3.9102 1.5871 1.4999
-0.8332 -3.9278 1.9842
2.0186 1.4533 3.7245
Os Pt Cl
1 3 1
direct
0.5000 0.5000 0.5000
0.0000 0.5000 0.0000
0.0000 0.0000 0.5000
0.5000 0.0000 0.0000
0.0000 0.0000 0.0000

Entry 10:
Os2PtCl PBE-GGA relaxed; space-group type = Cmmm; VASP energy = -6.41 eV per atom; E_form (uncorrected) = 1.177 eV per atom; crystal system = orthorhombic
1.0
4.7613 0.0210 0.0000
-1.0754 4.6384 0.0000
0.0000 0.0000 2.7481
Cl Os Pt
1 2 1
direct
0.0000 0.5000 0.5000
0.0000 0.0000 0.0000
0.5000 0.5000 0.0000
0.5000 0.0000 0.5000

Entry 11:
Os2PtCl PBE-GGA relaxed; space-group type = Imm2; VASP energy = -6.75 eV per atom; E_form (uncorrected) = 0.840 eV per atom; crystal system = orthorhombic
1.0
-5.1876 -1.8353 2.5963
-2.8275 -5.3787 -0.3086
4.6807 3.6479 1.3434
Cl Os Pt
1 2 1
direct
0.2446 0.7446 0.5000
0.9611 0.9611 0.0000
0.7652 0.2652 0.5000
0.5292 0.5292 0.0000

Entry 12:
Os2PtCl PBE-GGA relaxed; space-group type = C2/m; VASP energy = -6.89 eV per atom; E_form (uncorrected) = 0.700 eV per atom; crystal system = monoclinic
1.0
4.7475 -0.0012 0.0367
3.9238 2.6726 0.0367
4.1381 1.2749 6.3443
Cl Os Pt
1 2 1
direct
0.2500 0.2500 0.2500
0.9529 0.9529 0.9111
0.5471 0.5471 0.5889
0.7500 0.7500 0.7500

Entry 13:
Os2PtCl PBE-GGA relaxed; space-group type = Pmmm; VASP energy = -6.85 eV per atom; E_form (uncorrected) = 0.741 eV per atom; crystal system = orthorhombic
1.0
3.7899 0.0000 0.0000
0.0000 2.8118 -0.0006
0.0000 0.0009 6.0054
Cl Os Pt
1 2 1
direct
0.5000 0.7500 0.7500
0.0000 0.7500 0.0339
0.0000 0.7500 0.4661
0.5000 0.2500 0.2500

Entry 14:
Os2PtCl PBE-GGA relaxed; space-group type = I-42d; VASP energy = -6.25 eV per atom; E_form (uncorrected) = 1.341 eV per atom; crystal system = tetragonal
1.0
-2.4100 3.3483 -0.9589
-1.6303 -2.1149 -3.2875
-7.7601 -2.1837 2.5249
Os Pt Cl
4 2 2
direct
0.5455 0.1250 0.2500
0.2045 0.6250 0.2500
0.3750 0.4545 0.7500
0.8750 0.7955 0.7500
0.0000 0.0000 0.0000
0.7500 0.2500 0.5000
0.5000 0.5000 0.0000
0.2500 0.7500 0.5000

Entry 15:
OsPtCl2 PBE-GGA relaxed; space-group type = Cmmm; VASP energy = -3.88 eV per atom; E_form (uncorrected) = 1.361 eV per atom; crystal system = orthorhombic
1.0
-4.8093 0.3962 -0.2711
1.1181 -4.2626 -1.9850
-0.2501 -1.2683 2.5826
Os Pt Cl
1 1 2
direct
0.5000 0.0000 0.5000
0.0000 0.5000 0.5000
0.0000 0.0000 0.0000
0.5000 0.5000 0.0000

Entry 16:
Os2PtCl PBE-GGA relaxed; space-group type = Pmmm; VASP energy = -6.56 eV per atom; E_form (uncorrected) = 1.031 eV per atom; crystal system = orthorhombic
1.0
-1.8347 -2.1041 0.6284
2.5467 -2.4395 -0.7328
1.9540 0.1627 6.2492
Cl Os Pt
1 2 1
direct
0.5000 0.5000 0.7500
0.0000 0.0000 0.0498
0.0000 0.0000 0.4502
0.5000 0.5000 0.2500

Entry 17:
OsPtCl PBE-GGA relaxed; space-group type = P3m1; VASP energy = -5.65 eV per atom; E_form (uncorrected) = 0.719 eV per atom; crystal system = trigonal
1.0
-1.1046 1.9215 -2.9730
-2.5095 -1.3449 2.3758
0.2816 5.0132 3.1354
Cl Os Pt
1 1 1
direct
0.0000 0.0000 0.1166
0.3333 0.6667 0.3389
0.6667 0.3333 0.5444

Entry 18:
OsPtCl3 PBE-GGA relaxed; space-group type = Pm-3m; VASP energy = -3.60 eV per atom; E_form (uncorrected) = 0.958 eV per atom; crystal system = cubic
1.0
4.7532 0.0000 0.0000
0.0000 4.7532 0.0000
0.0000 0.0000 4.7532
Os Pt Cl
1 1 3
direct
0.0000 0.0000 0.0000
0.5000 0.5000 0.5000
0.0000 0.5000 0.0000
0.0000 0.0000 0.5000
0.5000 0.0000 0.0000

Entry 19:
OsPtCl2 PBE-GGA relaxed; space-group type = R-3m; VASP energy = -4.43 eV per atom; E_form (uncorrected) = 0.808 eV per atom; crystal system = trigonal
1.0
3.2912 -0.0692 8.3629
4.8208 2.1929 7.2612
2.1123 2.6289 8.3308
Os Pt Cl
1 1 2
direct
0.5000 0.5000 0.5000
0.0000 0.0000 0.0000
0.9074 0.9074 0.9074
0.0926 0.0926 0.0926

Entry 20:
Os4PtCl PBE-GGA relaxed; space-group type = F-43m; VASP energy = -7.40 eV per atom; E_form (uncorrected) = 1.404 eV per atom; crystal system = cubic
1.0
0.0000 3.6780 3.6780
3.6780 0.0000 3.6780
3.6780 3.6780 0.0000
Os Pt Cl
4 1 1
direct
0.8746 0.3751 0.3751
0.3751 0.3751 0.8746
0.3751 0.8746 0.3751
0.3751 0.3751 0.3751
0.7500 0.7500 0.7500
0.0000 0.0000 0.0000

Entry 21:
OsPtCl2 PBE-GGA relaxed; space-group type = R3m; VASP energy = -4.94 eV per atom; E_form (uncorrected) = 0.304 eV per atom; crystal system = trigonal
1.0
-5.7633 -5.1333 -5.0752
-3.4431 -4.6830 -7.1790
-3.2252 -7.0227 -5.0600
Os Pt Cl
1 1 2
direct
0.5077 0.5077 0.5077
0.2423 0.2423 0.2423
0.9752 0.9752 0.9752
0.7748 0.7748 0.7748

Entry 22:
OsPtCl2 PBE-GGA relaxed; space-group type = Pmmm; VASP energy = -3.91 eV per atom; E_form (uncorrected) = 1.327 eV per atom; crystal system = orthorhombic
1.0
-1.4035 1.6586 1.9540
-3.2229 -0.6756 -1.7415
-0.8590 -4.7878 3.4469
Os Pt Cl
1 1 2
direct
0.5000 0.5000 0.2500
0.5000 0.5000 0.7500
0.0000 0.0000 0.0163
0.0000 0.0000 0.4837

Entry 23:
Os2PtCl PBE-GGA relaxed; space-group type = C2/m; VASP energy = -6.40 eV per atom; E_form (uncorrected) = 1.188 eV per atom; crystal system = monoclinic
1.0
-0.7126 -3.6413 2.8396
4.0748 3.3923 1.5581
-1.1779 1.6589 1.8904
Cl Os Pt
1 2 1
direct
0.5000 0.5000 0.0000
0.0000 0.0000 0.0000
0.5000 0.0000 0.5000
0.0000 0.5000 0.5000

Entry 24:
Rb2OsPtCl6 PBE-GGA relaxed; space-group type = I4/mmm; VASP energy = -3.76 eV per atom; E_form (uncorrected) = -0.734 eV per atom; crystal system = tetragonal
1.0
7.8253 0.0000 0.0000
0.0000 7.8253 0.0000
3.9127 3.9127 4.5469
Os Rb Pt Cl
1 2 1 6
direct
0.5000 0.5000 0.0000
0.7500 0.2500 0.5000
0.2500 0.7500 0.5000
0.0000 0.0000 0.0000
0.2455 0.2455 0.5090
0.7545 0.7545 0.4910
0.2835 0.2835 0.0000
0.7165 0.7165 0.0000
0.7165 0.2835 0.0000
0.2835 0.7165 0.0000

Entry 25:
Sm6Os2PtCl3 PBE-GGA relaxed; space-group type = C2/m; VASP energy = -6.19 eV per atom; E_form (uncorrected) = -0.989 eV per atom; crystal system = monoclinic
1.0
7.0671 -0.0048 0.0039
-3.5360 6.1189 0.0039
-1.1734 -2.0318 7.4989
Sm Os Pt Cl
6 2 1 3
direct
0.9314 0.5858 0.7942
0.7204 0.7204 0.2037
0.0686 0.4142 0.2058
0.5858 0.9314 0.7942
0.2796 0.2796 0.7963
0.4142 0.0686 0.2058
0.3330 0.6670 0.0000
0.6670 0.3330 0.0000
0.0000 0.0000 0.0000
0.1732 0.8268 0.5000
0.8268 0.1732 0.5000
0.5000 0.5000 0.5000

Entry 26:
Pu2OsCl PBE-GGA relaxed; space-group type = R-3m; VASP energy = -10.97 eV per atom; E_form (uncorrected) = -0.535 eV per atom; crystal system = trigonal
1.0
3.9527 0.0000 0.0000
1.9763 3.4231 0.0000
1.9763 1.1410 7.3178
Cl Os Pu
1 1 2
direct
0.5000 0.5000 0.5000
0.0000 0.0000 0.0000
0.2638 0.2638 0.2085
0.7362 0.7362 0.7915

Entry 27:
Pu2OsCl PBE-GGA relaxed; space-group type = P4/mmm; VASP energy = -11.05 eV per atom; E_form (uncorrected) = -0.617 eV per atom; crystal system = tetragonal
1.0
-2.0554 2.3931 -0.8818
-0.3438 -1.3822 -2.9496
-6.1987 -4.3132 2.7436
Cl Os Pu
1 1 2
direct
0.5000 0.5000 0.5000
0.5000 0.5000 0.0000
0.0000 0.0000 0.7781
0.0000 0.0000 0.2219

Entry 28:
Rb3OsCl6 PBE-GGA relaxed; space-group type = Fm-3m; VASP energy = -3.78 eV per atom; E_form (uncorrected) = -1.259 eV per atom; crystal system = cubic
1.0
7.7136 0.0000 0.0000
0.0000 7.7136 0.0000
3.8568 3.8568 5.4540
Os Rb Cl
1 3 6
direct
0.0000 0.0000 0.0000
0.5000 0.5000 0.0000
0.7500 0.2500 0.5000
0.2500 0.7500 0.5000
0.2179 0.2179 0.5643
0.7821 0.7821 0.4357
0.2178 0.2178 0.0000
0.7822 0.7822 0.0000
0.7822 0.2178 0.0000
0.2178 0.7822 0.0000

Entry 29:
Rb2OsCl5 PBE-GGA relaxed; space-group type = I4mm; VASP energy = -3.84 eV per atom; E_form (uncorrected) = -1.036 eV per atom; crystal system = tetragonal
1.0
-1.0939 -7.3241 -0.3682
6.7852 -0.8693 -2.8600
-1.0809 3.6150 5.9469
Rb Os Cl
2 1 5
direct
0.2555 0.7555 0.5110
0.7555 0.2555 0.5110
0.9900 0.9900 0.9800
0.7822 0.2318 0.0140
0.2319 0.2318 0.0140
0.7820 0.7819 0.0137
0.2317 0.7820 0.0137
0.7483 0.7485 0.4966